The following is a PBE-GGA calculation of LaPm2HoH after structural relaxation, from Alexandria.

abc: 5.1334 5.1334 5.0924
angles: 90.00 90.00 90.00
Last column: nearest neighbours and their distance in Å.
Sites, in units of the cell vectors:
1 La 0.0000 0.0000 0.0000  8 Pm 3.62, 4 Ho 3.63
2 Pm 0.0000 0.5000 0.5000  2 H 2.57
3 Pm 0.5000 0.0000 0.5000  2 H 2.57
4 Ho 0.5000 0.5000 0.0000  2 H 2.55
5 H 0.5000 0.5000 0.5000  2 Ho 2.55, 4 Pm 2.57

Computed properties:
The value obtained for the total DFT energy (no corrections) is -23.22 eV for the cell shown.

=====

The following is a PBE-GGA calculation of Pu3Sn2Bi after structural relaxation, from Alexandria.

abc: 3.4193 3.4193 13.9361
angles: 90.00 90.00 90.00
Last column: nearest neighbours and their distance in Å.
Sites, in units of the cell vectors:
1 Pu 0.0000 0.0000 0.0000  8 Sn 3.33, 4 Pu 3.42
2 Pu 0.0000 0.0000 0.3271  4 Sn 3.32, 4 Bi 3.41, 4 Pu 3.42
3 Pu 0.0000 0.0000 0.6729  4 Sn 3.32, 4 Bi 3.41, 4 Pu 3.42
4 Sn 0.5000 0.5000 0.1643  8 Pu 3.32-3.33, 4 Sn 3.42
5 Sn 0.5000 0.5000 0.8357  8 Pu 3.32-3.33, 4 Sn 3.42
6 Bi 0.5000 0.5000 0.5000  8 Pu 3.41, 4 Bi 3.42

Computed properties:
The value obtained for the formation enthalpy at 0 K is -0.365 eV per atom. The value obtained for the total DFT energy (no corrections) is -57.07 eV for the cell shown.

=====

The following is a PBE-GGA calculation of AgBr2N after structural relaxation, from Alexandria.

abc: 7.4066 7.4066 7.4066
angles: 136.11 136.11 63.81
Last column: nearest neighbours and their distance in Å.
Sites, in units of the cell vectors:
1 Ag 0.0000 0.0000 0.0000  4 Br 2.85
2 Ag 0.7500 0.2500 0.5000  4 Br 2.85
3 Br 0.2247 0.6250 0.0997  2 N 2.25
4 Br 0.3750 0.4747 0.5997  2 N 2.25
5 Br 0.5253 0.1250 0.9003  2 N 2.25
6 Br 0.8750 0.7753 0.4003  2 N 2.25
7 N 0.2500 0.7500 0.5000  4 Br 2.25
8 N 0.5000 0.5000 0.0000  4 Br 2.25

Computed properties:
The value obtained for the total DFT energy (no corrections) is -20.95 eV for the cell shown. The energy relative to the lowest polymorph listed for this composition is 0.00 eV per formula unit. The calculation puts the uncorrected formation energy at 4.05 eV/f.u.

=====

The following is a PBE-GGA calculation of PmTmScPb after structural relaxation, from Alexandria.

abc: 5.3567 5.3567 5.3567
angles: 60.00 60.00 60.00
Last column: nearest neighbours and their distance in Å.
Sites, in units of the cell vectors:
1 Pm 0.0000 0.0000 0.0000  4 Tm 3.28, 4 Sc 3.28
2 Tm 0.2500 0.2500 0.2500  4 Pb 3.28, 4 Pm 3.28
3 Sc 0.7500 0.7500 0.7500  4 Pb 3.28, 4 Pm 3.28
4 Pb 0.5000 0.5000 0.5000  4 Sc 3.28, 4 Tm 3.28

Computed properties:
The value obtained for the formation enthalpy at 0 K is -0.066 eV per atom. The value obtained for the total DFT energy (no corrections) is -19.53 eV for the cell shown.

=====

Number 1: mass density 7.36 g/cm3. Number 2: mass density 12.01 g/cm3. Number 3: mass density 4.85 g/cm3. Number 4: mass density 8.65 g/cm3.